1.
Ac6PmNd2: optimized geometry, GGA-PBE.

Total magnetic moment, μB/f.u.: 0.00
Energy relative to the lowest polymorph listed for this composition, meV/atom: 122.6
Volume, A^3/atom: 44.06

The structure in POSCAR format:
```
Ac6PmNd2
1.0
9.4004 0.0000 0.0000
4.7002 8.1410 0.0000
4.7002 2.7137 5.1815
Ac Nd Pm
6 2 1
Cartesian
7.0338 2.9806 3.3407
11.7675 7.8782 1.2610
12.7027 4.6011 3.3407
8.4648 8.7003 3.3407
6.0943 6.2518 1.2610
10.3394 2.1519 1.2610
14.1006 8.1410 4.2223
9.4004 5.4273 2.3151
4.7002 2.7137 0.3988
```


2.
BaY2Te: optimized geometry, GGA-PBE.

Total magnetic moment, μB/f.u.: 0.00
Uncorrected formation energy, meV per atom: -303
Volume, A^3/atom: 32.53

The structure in POSCAR format:
```
BaY2Te
1.0
4.9827 0.0735 0.0000
-0.0738 4.9827 0.0000
0.0000 0.0000 5.2394
Y Ba Te
2 1 1
Cartesian
2.4544 2.5281 0.0000
0.0000 0.0000 0.0000
2.4913 0.0367 2.6197
-0.0369 2.4913 2.6197
```


3.
ScCd2Ru: optimized geometry, GGA-PBE.

Calculated total energy, eV per atom: -4.344
Total magnetic moment, μB/f.u.: 0.00
Volume, A^3/atom: 18.85

The structure in POSCAR format:
```
ScCd2Ru
1.0
5.0435 0.0067 0.0000
-2.0452 4.6103 0.0000
0.0000 0.0000 3.2404
Sc Cd Ru
1 2 1
Cartesian
-1.0226 2.3051 1.6202
1.4992 2.3085 0.0000
0.0000 0.0000 0.0000
2.5218 0.0033 1.6202
```


4.
PrNdCu4: optimized geometry, GGA-PBE.

Total magnetic moment, μB/f.u.: 0.00
Energy relative to the lowest polymorph listed for this composition, meV/atom: 136.2
Volume, A^3/atom: 18.38

The structure in POSCAR format:
```
PrNdCu4
1.0
5.3826 0.0000 0.0000
2.6913 4.6615 0.0000
2.6913 1.5538 4.3949
Cu Pr Nd
4 1 1
Cartesian
6.7258 3.8831 2.7458
5.3826 1.5567 2.7458
5.3826 3.1076 0.5524
4.0394 3.8831 2.7458
0.0000 0.0000 0.0000
2.6913 1.5538 1.0987
```


5.
NaInC2Cl: optimized geometry, GGA-PBE.

Total magnetic moment, μB/f.u.: 4.97
Uncorrected formation energy, meV per atom: 2139
Volume, A^3/atom: 26.81

The structure in POSCAR format:
```
NaInC2Cl
1.0
-1.5577 -4.3519 1.8094
3.3708 0.3031 3.6311
-3.6108 2.5961 3.1353
In Cl C Na
1 1 2 1
Cartesian
-0.8989 -0.7263 4.2879
-1.8054 1.2980 1.5677
-0.7789 -2.1759 0.9047
1.6854 0.1516 1.8155
0.0000 0.0000 0.0000
```


6.
CeGaAg2: optimized geometry, GGA-PBE.

Total magnetic moment, μB/f.u.: 0.34
Energy relative to the lowest polymorph listed for this composition, meV/atom: 199.2
Volume, A^3/atom: 20.17

The structure in POSCAR format:
```
CeGaAg2
1.0
3.1210 0.0000 0.0000
0.0000 3.1210 0.0000
0.0000 0.0000 8.2816
Ga Ag Ce
1 2 1
Cartesian
1.5605 1.5605 0.0000
0.0000 0.0000 1.7448
0.0000 0.0000 6.5368
1.5605 1.5605 4.1408
```


7.
CeTaRh2: optimized geometry, GGA-PBE.

Total magnetic moment, μB/f.u.: 0.00
Energy relative to the lowest polymorph listed for this composition, meV/atom: 0.0
Volume, A^3/atom: 18.45

The structure in POSCAR format:
```
CeTaRh2
1.0
3.1470 0.0000 0.0000
0.0000 3.1470 0.0000
0.0000 0.0000 7.4528
Rh Ce Ta
2 1 1
Cartesian
0.0000 0.0000 1.5254
0.0000 0.0000 5.9273
1.5735 1.5735 3.7264
1.5735 1.5735 0.0000
```


8.
Cs2TiRe2: optimized geometry, GGA-PBE.

Total magnetic moment, μB/f.u.: 3.09
Energy relative to the lowest polymorph listed for this composition, meV/atom: 0.0
Volume, A^3/atom: 33.37

The structure in POSCAR format:
```
Cs2TiRe2
1.0
3.5294 0.0000 0.0000
0.0000 3.5294 0.0000
1.7647 1.7647 13.3954
Cs Re Ti
2 2 1
Cartesian
3.5294 3.5294 10.0366
1.7647 1.7647 3.3588
3.5294 1.7647 6.6977
1.7647 3.5294 6.6977
0.0000 0.0000 0.0000
```


9.
SrCoW: optimized geometry, GGA-PBE.

Total magnetic moment, μB/f.u.: 0.00
Energy relative to the lowest polymorph listed for this composition, meV/atom: 240.6
Volume, A^3/atom: 26.98

The structure in POSCAR format:
```
SrCoW
1.0
9.7070 0.0000 -0.0004
0.0000 3.9667 0.0000
-2.4830 0.0000 8.4093
Co Sr W
4 4 4
Cartesian
6.0421 1.9833 2.8638
4.8006 0.0000 7.0685
6.0985 1.9833 5.3457
7.3400 0.0000 1.1411
8.2771 0.0000 3.9971
2.6084 1.9833 3.0317
1.3669 0.0000 7.2363
7.0356 1.9833 8.2017
3.8732 1.9833 6.1428
6.2578 1.9833 0.2976
5.1147 0.0000 1.9382
5.0163 0.0000 4.5022
```


10.
BeNiOs2: optimized geometry, GGA-PBE.

Calculated total energy, eV per atom: -7.847
Total magnetic moment, μB/f.u.: 0.00
Volume, A^3/atom: 11.91

The structure in POSCAR format:
```
BeNiOs2
1.0
4.0604 0.6372 0.0000
-0.6358 4.0606 0.0000
0.0000 0.0000 2.8192
Ni Os Be
1 2 1
Cartesian
-0.3179 2.0303 1.4096
1.7123 2.3489 0.0000
0.0000 0.0000 0.0000
2.0302 0.3186 1.4096
```


11.
CoCuRh2: optimized geometry, GGA-PBE.

Total magnetic moment, μB/f.u.: 2.96
Energy relative to the lowest polymorph listed for this composition, meV/atom: 53.9
Volume, A^3/atom: 13.17

The structure in POSCAR format:
```
CoCuRh2
1.0
-2.8046 2.9739 1.9417
-1.3315 1.8941 3.8883
2.7236 3.7539 0.0212
Co Rh Cu
1 2 1
Cartesian
-0.3531 2.1555 1.4628
-4.1120 4.8632 5.8091
-0.7303 4.3158 2.9465
-1.0594 6.4664 4.3884
```


12.
LaNb2Rh: optimized geometry, GGA-PBE.

Total magnetic moment, μB/f.u.: 0.00
Energy relative to the lowest polymorph listed for this composition, meV/atom: 108.4
Volume, A^3/atom: 21.37

The structure in POSCAR format:
```
LaNb2Rh
1.0
3.9342 0.0000 0.0000
0.0000 3.9342 0.0000
1.9671 1.9671 11.0461
Nb La Rh
4 2 2
Cartesian
4.9177 3.0054 8.2846
2.9506 4.8629 8.2846
2.8958 2.9506 2.7615
1.0383 0.9835 2.7615
0.0000 0.0000 0.0000
3.9342 1.9671 5.5231
1.9671 1.9671 0.0000
1.9671 3.9342 5.5231
```


13.
Rb14NaAg: optimized geometry, GGA-PBE.

Calculated total energy, eV per atom: -1.074
Total magnetic moment, μB/f.u.: 0.00
Volume, A^3/atom: 80.59

The structure in POSCAR format:
```
Rb14NaAg
1.0
9.8028 0.0331 0.0000
-2.5520 9.4649 0.0000
0.0000 0.0000 13.8856
Rb Ag Na
14 1 1
Cartesian
8.9320 0.6978 6.9428
4.1314 1.2137 6.9428
4.2259 8.9356 2.5515
-0.2549 3.0661 2.5515
7.2107 6.2132 0.0000
7.1690 5.1927 6.9428
2.3568 5.7174 6.9428
4.6784 3.9451 2.9027
-0.4550 7.8639 10.1742
3.1580 0.9045 0.0000
-0.2549 3.0661 11.3341
4.6784 3.9451 10.9829
-0.4550 7.8639 3.7114
4.2259 8.9356 11.3341
6.6630 2.4300 0.0000
1.9965 5.9925 0.0000
```


14.
Sc2VAu: optimized geometry, GGA-PBE.

Total magnetic moment, μB/f.u.: 2.04
Energy relative to the lowest polymorph listed for this composition, meV/atom: 571.1
Volume, A^3/atom: 20.66

The structure in POSCAR format:
```
Sc2VAu
1.0
4.1414 0.0000 0.0000
0.0000 4.1414 0.0000
2.0707 2.0707 9.6366
V Au Sc
2 2 4
Cartesian
2.0707 4.1414 4.8183
2.0707 2.0707 0.0000
4.1414 2.0707 4.8183
0.0000 0.0000 0.0000
3.1061 3.1003 7.2274
5.1768 5.1825 7.2274
1.0296 3.1061 2.4091
3.1118 1.0354 2.4091
```


15.
Ba2SmSnTe5: optimized geometry, GGA-PBE.

Total magnetic moment, μB/f.u.: 0.00
Uncorrected formation energy, meV per atom: -1240
Volume, A^3/atom: 38.14

The structure in POSCAR format:
```
Ba2SmSnTe5
1.0
-1.1769 -3.1618 3.3779
9.8092 -2.5766 -2.3680
4.7449 8.8938 9.9778
Sn Ba Te Sm
2 4 10 2
Cartesian
4.7884 6.4435 11.0732
10.4586 0.2165 3.8463
5.3733 5.1126 6.6576
7.3678 -3.1495 2.9927
3.9319 1.6971 2.9584
10.0574 2.6056 9.3166
6.6678 -2.9987 -0.4838
6.9244 4.6096 10.1008
10.3822 -0.2724 6.7358
12.6975 2.6579 6.9116
4.3436 1.7197 6.4966
0.7727 0.6719 4.2718
7.5735 0.6465 3.2437
8.4665 3.5088 6.2340
1.2577 0.1713 0.5985
4.0948 -1.8829 3.0379
7.2144 0.6375 6.4838
3.9795 -1.5744 -0.0872
```


16.
CoSe2Br: optimized geometry, GGA-PBE.

Total magnetic moment, μB/f.u.: 0.00
Energy relative to the lowest polymorph listed for this composition, meV/atom: 337.0
Uncorrected formation energy, meV per atom: 131
Volume, A^3/atom: 24.49

The structure in POSCAR format:
```
CoSe2Br
1.0
3.3391 -1.9279 0.0000
0.0000 3.8557 0.0000
0.0000 0.0000 7.6095
Co Br Se
1 1 2
Cartesian
1.1130 1.9279 3.2937
0.0000 0.0000 7.3407
1.1130 1.9279 5.3819
2.2261 0.0000 2.6650
```


17.
Rb3Tb3NbS8: optimized geometry, GGA-PBE.

Total magnetic moment, μB/f.u.: 1.01
Uncorrected formation energy, meV per atom: -1637
Volume, A^3/atom: 28.46

The structure in POSCAR format:
```
Rb3Tb3NbS8
1.0
7.9246 0.0001 -0.0002
-3.9622 6.8649 -0.0280
-0.0002 -4.5450 7.8659
S Rb Tb Nb
8 3 3 1
Cartesian
-2.1218 3.5360 5.3416
3.9623 2.4593 2.4804
-0.0001 2.2975 2.3944
3.9623 0.0226 5.4432
2.1214 3.5360 5.3415
1.8407 -1.2159 2.4961
-0.0002 -0.1393 5.3572
6.0839 -1.2159 2.4960
0.0000 0.0000 0.0000
1.9812 3.4325 -0.0141
-1.9811 3.4325 -0.0140
1.9811 1.1600 3.9188
3.9622 -2.2724 3.9328
-1.9812 1.1600 3.9189
-0.0001 -2.2725 3.9329
```


18.
LiBi2Ir: optimized geometry, GGA-PBE.

Calculated total energy, eV per atom: -4.588
Total magnetic moment, μB/f.u.: 0.00
Volume, A^3/atom: 26.73

The structure in POSCAR format:
```
LiBi2Ir
1.0
9.2156 0.0000 0.0000
0.0000 9.2156 0.0000
4.6078 4.6078 2.5177
Bi Li Ir
4 2 2
Cartesian
1.2613 6.9117 0.6294
7.9544 2.3039 0.6294
6.9117 5.8691 1.8883
11.5195 12.5622 1.8883
4.6078 9.2156 1.2589
4.6078 4.6078 0.0000
0.0000 0.0000 0.0000
9.2156 4.6078 1.2589
```


19.
MgVBBr2: optimized geometry, GGA-PBE.

Total magnetic moment, μB/f.u.: 4.19
Uncorrected formation energy, meV per atom: 1201
Volume, A^3/atom: 31.07

The structure in POSCAR format:
```
MgVBBr2
1.0
4.8805 0.0000 0.0000
0.0000 6.5223 0.0000
0.0000 0.0000 4.8805
Mg Br V B
1 2 1 1
Cartesian
0.0000 0.0000 0.0000
0.0000 0.0000 2.4402
2.4402 0.0000 0.0000
0.0000 3.2612 0.0000
2.4402 3.2612 2.4402
```


20.
Cs2YGeO4: optimized geometry, GGA-PBE.

Total magnetic moment, μB/f.u.: 0.00
Uncorrected formation energy, meV per atom: -1824
Volume, A^3/atom: 29.95

The structure in POSCAR format:
```
Cs2YGeO4
1.0
5.7880 0.0000 0.0000
2.8940 6.7216 0.0000
2.8940 0.0000 12.3190
Ge Y Cs O
2 2 4 8
Cartesian
2.8940 0.0000 0.0000
4.3410 3.3608 6.1595
7.2350 3.3608 6.1595
0.0000 0.0000 0.0000
5.7880 0.0000 4.4292
7.2350 3.3608 1.7303
7.2350 3.3608 10.5887
2.8940 0.0000 7.8898
5.5379 2.3034 7.0602
8.9321 4.4182 7.0602
4.5911 1.0574 11.4184
5.5379 4.4182 5.2589
4.0909 1.0574 0.9007
3.1441 2.3034 5.2589
4.5911 5.6642 0.9007
9.8789 5.6642 11.4184
```